VASP calculation (GGA-PBE) on a geometry-optimized Sb2S2Cl structure.

Unit cell a=10.623 b=10.623 c=10.623 alpha=22.20 beta=22.20 gamma=22.20
Sites, in units of the cell vectors:
Sb 0.100 0.100 0.100
Sb 0.900 0.900 0.900
S 0.272 0.272 0.272
S 0.728 0.728 0.728
Cl 0.500 0.500 0.500

Computed properties:
Offset from the most stable computed form   0.051 eV per atom
Formation energy from raw total energies   -0.199 eV per atom
Spin magnetization   0.000 μB per atom
Fermi-level density of states   2.183 states/eV per cell